# 1
## ErPuSnRh (PBE)

Data for a geometry-optimized ErPuSnRh structure.

The calculation puts the formation energy at -0.414 eV per atom. For the density of states at the Fermi level, the calculation gives 34.87 states/eV/cell. The volume comes out at 23.37 A^3/atom.

a b c (Å): 7.2043 7.2043 7.2043
angles (deg): 90.00 90.00 90.00
With the nearest neighbours (Å) after each atom.
Space group F-43m (No. 216)
Unique sites:
Er (0.0000, 0.0000, 0.0000) (multiplicity 4)  4 Rh 3.12, 4 Sn 3.12
Pu (0.0000, 0.0000, 0.5000) (multiplicity 4)  4 Sn 3.12, 4 Rh 3.12
Sn (0.2500, 0.2500, 0.7500) (multiplicity 4)  4 Er 3.12, 4 Pu 3.12
Rh (0.2500, 0.2500, 0.2500) (multiplicity 4)  4 Er 3.12, 4 Pu 3.12

---

# 2
## ErPuTcRh (PBE)

Data for a geometry-optimized ErPuTcRh structure.

The calculation puts the formation energy at -0.317 eV per atom. For the density of states at the Fermi level, the calculation gives 20.38 states/eV/cell. The volume comes out at 19.45 A^3/atom.

a b c (Å): 6.7763 6.7763 6.7763
angles (deg): 90.00 90.00 90.00
With the nearest neighbours (Å) after each atom.
Space group F-43m (No. 216)
Unique sites:
Er (0.0000, 0.0000, 0.0000) (multiplicity 4)  4 Tc 2.93, 4 Rh 2.93
Pu (0.0000, 0.0000, 0.5000) (multiplicity 4)  4 Rh 2.93, 4 Tc 2.93
Tc (0.2500, 0.2500, 0.7500) (multiplicity 4)  4 Er 2.93, 4 Pu 2.93
Rh (0.2500, 0.2500, 0.2500) (multiplicity 4)  4 Er 2.93, 4 Pu 2.93

---

# 3
## ErPuTlRh (PBE)

Data for a geometry-optimized ErPuTlRh structure.

The calculation puts the formation energy at -0.247 eV per atom. For the density of states at the Fermi level, the calculation gives 37.56 states/eV/cell. The energy relative to the lowest polymorph listed for this composition is 185.8 meV/atom. The volume comes out at 23.62 A^3/atom.

a b c (Å): 7.2304 7.2304 7.2304
angles (deg): 90.00 90.00 90.00
With the nearest neighbours (Å) after each atom.
Space group F-43m (No. 216)
Unique sites:
Er (0.0000, 0.0000, 0.0000) (multiplicity 4)  4 Tl 3.13, 4 Rh 3.13
Pu (0.0000, 0.0000, 0.5000) (multiplicity 4)  4 Tl 3.13, 4 Rh 3.13
Tl (0.2500, 0.2500, 0.2500) (multiplicity 4)  4 Pu 3.13, 4 Er 3.13
Rh (0.2500, 0.2500, 0.7500) (multiplicity 4)  4 Er 3.13, 4 Pu 3.13

---

# 4
## ErPuTlRh (PBE)

Data for a geometry-optimized ErPuTlRh structure.

The calculation puts the formation energy at -0.433 eV per atom. For the density of states at the Fermi level, the calculation gives 9.25 states/eV/cell. The energy relative to the lowest polymorph listed for this composition is 0.0 meV/atom. The volume comes out at 23.56 A^3/atom.

a b c (Å): 3.3698 3.3698 8.3004
angles (deg): 90.00 90.00 90.00
With the nearest neighbours (Å) after each atom.
Space group P4mm (No. 99)
Unique sites:
Er (0.0000, 0.0000, 0.0000) (multiplicity 1)  4 Rh 2.88
Pu (0.0000, 0.0000, 0.5803) (multiplicity 1)  4 Rh 3.03, 4 Pu 3.37
Tl (0.5000, 0.5000, 0.2871) (multiplicity 1)  4 Tl 3.37, 4 Er 3.37, 4 Pu 3.41
Rh (0.5000, 0.5000, 0.8051) (multiplicity 1)  4 Er 2.88, 4 Pu 3.03

---

# 5
## ErPuZnRh (PBE)

Data for a geometry-optimized ErPuZnRh structure.

The calculation puts the formation energy at -0.394 eV per atom. For the density of states at the Fermi level, the calculation gives 31.84 states/eV/cell. The volume comes out at 21.05 A^3/atom.

a b c (Å): 6.9570 6.9570 6.9570
angles (deg): 90.00 90.00 90.00
With the nearest neighbours (Å) after each atom.
Space group F-43m (No. 216)
Unique sites:
Er (0.0000, 0.0000, 0.0000) (multiplicity 4)  4 Zn 3.01, 4 Rh 3.01
Pu (0.0000, 0.0000, 0.5000) (multiplicity 4)  4 Rh 3.01, 4 Zn 3.01
Zn (0.2500, 0.2500, 0.7500) (multiplicity 4)  4 Pu 3.01, 4 Er 3.01
Rh (0.2500, 0.2500, 0.2500) (multiplicity 4)  4 Er 3.01, 4 Pu 3.01

---

# 6
## Er4PuRu2 (PBE)

Data for a geometry-optimized Er4PuRu2 structure.

The calculation puts the formation energy at -0.273 eV per atom. For the density of states at the Fermi level, the calculation gives 19.33 states/eV/cell. The volume comes out at 25.07 A^3/atom.

a b c (Å): 6.1964 7.6465 7.6481
angles (deg): 89.65 79.84 79.79
With the nearest neighbours (Å) after each atom.
Space group P1 (No. 1)
Unique sites:
Er (0.0000, 0.0000, 0.0000) (multiplicity 1)  3 Ru 2.83-2.98
Er (0.0384, 0.1778, 0.5823) (multiplicity 1)  3 Ru 2.80-2.83
Er (0.1154, 0.5864, 0.8182) (multiplicity 1)  4 Ru 2.90-3.05
Er (0.1881, 0.7499, 0.4013) (multiplicity 1)  4 Ru 2.86-2.98
Er (0.5005, 0.1935, 0.8061) (multiplicity 1)  3 Ru 2.83-2.97
Er (0.5380, 0.7765, 0.9848) (multiplicity 1)  3 Ru 2.80-2.83
Er (0.6154, 0.0110, 0.3929) (multiplicity 1)  4 Ru 2.90-3.04
Er (0.6876, 0.5946, 0.5578) (multiplicity 1)  4 Ru 2.86-2.98
Pu (0.2042, 0.3560, 0.1955) (multiplicity 1)  2 Ru 2.65-2.91
Pu (0.7036, 0.3896, 0.1633) (multiplicity 1)  2 Ru 2.65-2.91
Ru (0.3324, 0.8920, 0.6969) (multiplicity 1)  8 Er 2.80-2.96, 2 Ru 3.10
Ru (0.3783, 0.3799, 0.4856) (multiplicity 1)  2 Pu 2.65-2.91, 3 Er 2.82-2.97
Ru (0.8326, 0.8904, 0.6985) (multiplicity 1)  8 Er 2.80-2.96, 2 Ru 3.10
Ru (0.8775, 0.6791, 0.1875) (multiplicity 1)  2 Pu 2.65-2.91, 2 Er 2.82-2.86

---

Copy entry 1 word for word.
## ErPuSnRh (PBE)

Data for a geometry-optimized ErPuSnRh structure.

The calculation puts the formation energy at -0.414 eV per atom. For the density of states at the Fermi level, the calculation gives 34.87 states/eV/cell. The volume comes out at 23.37 A^3/atom.

a b c (Å): 7.2043 7.2043 7.2043
angles (deg): 90.00 90.00 90.00
With the nearest neighbours (Å) after each atom.
Space group F-43m (No. 216)
Unique sites:
Er (0.0000, 0.0000, 0.0000) (multiplicity 4)  4 Rh 3.12, 4 Sn 3.12
Pu (0.0000, 0.0000, 0.5000) (multiplicity 4)  4 Sn 3.12, 4 Rh 3.12
Sn (0.2500, 0.2500, 0.7500) (multiplicity 4)  4 Er 3.12, 4 Pu 3.12
Rh (0.2500, 0.2500, 0.2500) (multiplicity 4)  4 Er 3.12, 4 Pu 3.12